LiMn3O6 GGA+U relaxed; raw total energy = -6.962 eV per atom; total magnetization = 40.0 Bohr magnetons per cell
1.0
4.239 -4.116 0.000
4.239 4.116 0.000
-4.184 0.000 12.647
Li Mn O
4 12 24
Cartesian
2.147 3.164 6.323
0.113 1.056 8.490
2.205 -1.056 2.167
4.239 -3.164 0.000
3.190 4.092 3.210
3.216 2.019 1.052
1.164 0.041 5.305
-0.928 -0.041 11.628
1.213 2.001 11.655
3.223 2.051 9.471
3.265 0.067 7.360
1.124 -2.019 7.375
5.357 -0.067 1.037
3.305 -2.001 5.332
1.098 -4.092 9.533
5.315 -2.051 3.148
1.032 2.009 5.124
-0.770 0.187 5.372
-2.862 -0.187 11.695
-0.725 1.876 11.733
2.996 2.160 3.019
0.989 0.102 3.346
-1.103 -0.102 9.669
1.260 2.162 9.694
3.166 1.997 7.560
3.391 0.049 0.941
1.299 -0.049 7.264
5.419 1.853 0.919
-1.060 -2.009 11.448
1.015 0.050 11.731
3.107 -0.050 5.408
1.367 -1.876 5.410
0.904 -2.160 9.342
3.357 0.133 9.297
5.449 -0.133 2.973
3.352 -2.162 3.370
5.166 0.190 7.332
3.327 -1.853 7.243
5.258 -1.997 1.236
7.258 -0.190 1.008